Density functional theory data (GGA-PBE) for a geometry-optimized YFeBi2 structure.

It has space group F-43m (No. 216), with a = 7.314 Å, b = 7.314 Å, c = 7.314 Å, α = 90.00°, β = 90.00° and γ = 90.00°. The distinct sites, in fractional coordinates, are Y at (0.000, 0.000, 0.000), Fe at (0.250, 0.250, 0.750), Bi at (0.000, 0.000, 0.500) and Bi at (0.250, 0.250, 0.250).

The uncorrected energy is -5.486 eV/atom. The value obtained for the volume is 391.3 Å³/cell. The value obtained for the density is 9.6 g cm⁻³.